DFT (PBE-GGA) results for a relaxed SbOsCl crystal.

**Distance to the lowest polymorph of the same formula**: 396 meV/atom
**Density of states at the Fermi level**: 1.8 states/eV per cell
**E_form (uncorrected)**: 0.81 eV per atom
**Spin magnetization**: 0.00 Bohr magnetons per cell

Cell lengths 4.9357, 4.9357, 4.9357 Å; angles 141.45, 128.82, 65.86 degrees
Fractional positions:
1 Cl 0.0178 0.0178 0.0000
2 Os 0.3048 0.3048 0.0000
3 Sb 0.6774 0.6774 0.0000